(1)
VASP calculation (PBE) on a relaxed structure of Sr12Rh3F5.

Summary:
Total moment, μB per cell: 0.00
SG: Ia-3d
Uncorrected energy, eV per atom: -4.0353
Uncorrected formation energy, eV/atom: -1.4556

a b c (Å): 14.534 14.534 14.534
angles (deg): 109.47 109.47 109.47
Element x y z (fractional)
Sr 0.031 0.215 0.128
Sr 0.031 0.317 0.904
Sr 0.087 0.715 0.683
Sr 0.087 0.872 0.404
Sr 0.096 0.628 0.413
Sr 0.096 0.969 0.683
Sr 0.128 0.031 0.215
Sr 0.128 0.596 0.913
Sr 0.183 0.215 0.587
Sr 0.183 0.469 0.596
Sr 0.215 0.128 0.031
Sr 0.215 0.587 0.183
Sr 0.285 0.317 0.913
Sr 0.285 0.469 0.372
Sr 0.317 0.904 0.031
Sr 0.317 0.913 0.285
Sr 0.372 0.285 0.469
Sr 0.372 0.587 0.904
Sr 0.404 0.087 0.872
Sr 0.404 0.817 0.531
Sr 0.413 0.096 0.628
Sr 0.413 0.817 0.785
Sr 0.469 0.372 0.285
Sr 0.469 0.596 0.183
Sr 0.531 0.404 0.817
Sr 0.531 0.628 0.715
Sr 0.587 0.183 0.215
Sr 0.587 0.904 0.372
Sr 0.596 0.183 0.469
Sr 0.596 0.913 0.128
Sr 0.628 0.413 0.096
Sr 0.628 0.715 0.531
Sr 0.683 0.087 0.715
Sr 0.683 0.096 0.969
Sr 0.715 0.531 0.628
Sr 0.715 0.683 0.087
Sr 0.785 0.413 0.817
Sr 0.785 0.872 0.969
Sr 0.817 0.531 0.404
Sr 0.817 0.785 0.413
Sr 0.872 0.404 0.087
Sr 0.872 0.969 0.785
Sr 0.904 0.031 0.317
Sr 0.904 0.372 0.587
Sr 0.913 0.128 0.596
Sr 0.913 0.285 0.317
Sr 0.969 0.683 0.096
Sr 0.969 0.785 0.872
Rh 0.125 0.250 0.375
Rh 0.125 0.375 0.750
Rh 0.250 0.375 0.125
Rh 0.250 0.875 0.625
Rh 0.375 0.125 0.250
Rh 0.375 0.750 0.125
Rh 0.625 0.250 0.875
Rh 0.625 0.875 0.750
Rh 0.750 0.125 0.375
Rh 0.750 0.625 0.875
Rh 0.875 0.625 0.250
Rh 0.875 0.750 0.625
F 0.000 0.000 0.000
F 0.000 0.000 0.500
F 0.000 0.500 0.000
F 0.000 0.500 0.500
F 0.125 0.750 0.875
F 0.125 0.875 0.250
F 0.250 0.125 0.875
F 0.250 0.625 0.375
F 0.375 0.250 0.625
F 0.375 0.625 0.750
F 0.500 0.000 0.000
F 0.500 0.000 0.500
F 0.500 0.500 0.000
F 0.500 0.500 0.500
F 0.625 0.375 0.250
F 0.625 0.750 0.375
F 0.750 0.375 0.625
F 0.750 0.875 0.125
F 0.875 0.125 0.750
F 0.875 0.250 0.125

***

(2)
VASP calculation (PBE) on a relaxed structure of Re3PBr.

Summary:
Total moment, μB per cell: 0.00
SG: Pm-3m
Uncorrected energy, eV per atom: -7.3179
Uncorrected formation energy, eV/atom: 1.5675
Excess energy over the best structure of this formula in the dataset, meV/atom: 0

a b c (Å): 4.466 4.466 4.466
angles (deg): 90.00 90.00 90.00
Element x y z (fractional)
Re 0.000 0.000 0.500
Re 0.000 0.500 0.000
Re 0.500 0.000 0.000
P 0.000 0.000 0.000
Br 0.500 0.500 0.500

***

(3)
VASP calculation (PBE) on a relaxed structure of LiAlCoS2.

Summary:
Total moment, μB per cell: 2.29
SG: P4/mmm
Uncorrected energy, eV per atom: -3.5843
Uncorrected formation energy, eV/atom: 0.6191

a b c (Å): 4.620 4.620 4.670
angles (deg): 90.00 90.00 90.00
Element x y z (fractional)
Li 0.000 0.000 0.000
Al 0.000 0.000 0.500
Co 0.500 0.500 0.000
S 0.000 0.500 0.500
S 0.500 0.000 0.500

***

(4)
VASP calculation (PBE) on a relaxed structure of Si2Os.

Summary:
Total moment, μB per cell: 0.00
SG: Cmcm
Uncorrected energy, eV per atom: -7.4417
Uncorrected formation energy, eV/atom: -0.0831

a b c (Å): 6.304 6.304 4.604
angles (deg): 90.00 90.00 152.83
Element x y z (fractional)
Si 0.043 0.957 0.750
Si 0.370 0.630 0.750
Si 0.630 0.370 0.250
Si 0.957 0.043 0.250
Os 0.294 0.706 0.250
Os 0.706 0.294 0.750